1.
Compound: Pr4Ag2Hg5
Source: the Alexandria database
Functional: GGA-PBE
Structure: relaxed

a b c (Å): 3.6722 8.2345 9.9604
angles (deg): 86.37 90.00 90.00
With the nearest neighbours (Å) after each atom.
Atoms (fractional coordinates):
Pr (0.5000, 0.7446, 0.6131)  4 Ag 3.24-3.29, 6 Hg 3.25-3.48
Pr (0.5000, 0.2091, 0.8577)  8 Hg 3.23-3.40, 2 Ag 3.24
Pr (0.5000, 0.2554, 0.3869)  4 Ag 3.24-3.29, 6 Hg 3.25-3.48
Pr (0.5000, 0.7909, 0.1423)  8 Hg 3.23-3.40, 2 Ag 3.24
Ag (0.0000, 0.0681, 0.6236)  1 Ag 2.77, 2 Hg 2.91-2.92
Ag (0.0000, 0.9319, 0.3764)  1 Ag 2.77, 2 Hg 2.91-2.92
Hg (0.0000, 0.5814, 0.3571)  1 Ag 2.91, 1 Hg 3.07, 4 Pr 3.23-3.25
Hg (0.0000, 0.1351, 0.1256)  1 Ag 2.92, 1 Hg 3.18, 2 Pr 3.26
Hg (0.0000, 0.5000, 0.0000)  2 Hg 3.18, 4 Pr 3.40
Hg (0.0000, 0.8649, 0.8744)  1 Ag 2.92, 1 Hg 3.18, 2 Pr 3.26
Hg (0.0000, 0.4186, 0.6429)  1 Ag 2.91, 1 Hg 3.07, 4 Pr 3.23-3.25

Energy of formation: -0.352 eV per atom
Calculated density: 9.846 g/cm³
Space group: P2/m (10)
Total magnetic moment: 0.0 μB/cell

=====

2.
Compound: Pr4AgHg3
Source: the Alexandria database
Functional: GGA-PBE
Structure: relaxed

a b c (Å): 3.8238 4.9778 12.1632
angles (deg): 90.00 90.00 90.00
With the nearest neighbours (Å) after each atom.
Atoms (fractional coordinates):
Pr (0.5000, 0.5000, 0.3481)  6 Hg 3.26-3.40, 1 Ag 3.30
Pr (0.0000, 0.5000, 0.8537)  5 Hg 3.26-3.34, 2 Ag 3.32
Pr (0.0000, 0.0000, 0.1464)  4 Ag 3.25, 3 Hg 3.30-3.32
Pr (0.5000, 0.0000, 0.6506)  7 Hg 3.26-3.40
Ag (0.5000, 0.5000, 0.0766)  2 Hg 3.09, 7 Pr 3.25-3.32
Hg (0.0000, 0.5000, 0.5795)  2 Hg 3.16, 7 Pr 3.26-3.40
Hg (0.0000, 0.0000, 0.4196)  2 Hg 3.16, 7 Pr 3.26-3.40
Hg (0.5000, 0.0000, 0.9256)  2 Ag 3.09, 7 Pr 3.26-3.34

Energy of formation: -0.379 eV per atom
Offset from the most stable computed form: 39.3 meV per atom
Calculated density: 9.133 g/cm³
Space group: Pmm2 (25)
Total magnetic moment: 0.0 μB/cell

=====

3.
Compound: PrAgHg
Source: the Alexandria database
Functional: GGA-PBE
Structure: relaxed

a b c (Å): 4.9585 6.1013 6.0850
angles (deg): 70.00 65.96 66.02
With the nearest neighbours (Å) after each atom.
Atoms (fractional coordinates):
Pr (0.5049, 0.2444, 0.7458)  6 Hg 3.33-3.38, 6 Ag 3.34-3.43, 2 Pr 3.49-3.51
Pr (0.4951, 0.7556, 0.2542)  6 Hg 3.33-3.38, 6 Ag 3.34-3.43, 2 Pr 3.49-3.51
Ag (0.8372, 0.1687, 0.1569)  1 Ag 2.82, 2 Hg 2.87
Ag (0.1628, 0.8313, 0.8431)  1 Ag 2.82, 2 Hg 2.87
Hg (0.1712, 0.3356, 0.3220)  2 Ag 2.87, 1 Hg 2.97
Hg (0.8288, 0.6644, 0.6780)  2 Ag 2.87, 1 Hg 2.97

Energy of formation: -0.365 eV per atom
Calculated density: 9.940 g/cm³
Space group: C2/m (12)
Total magnetic moment: 0.0 μB/cell

=====

4.
Compound: PrPuAgHg
Source: the Alexandria database
Functional: GGA-PBE
Structure: relaxed

a b c (Å): 5.3474 5.3474 5.3474
angles (deg): 60.00 60.00 60.00
With the nearest neighbours (Å) after each atom.
Atoms (fractional coordinates):
Pr (0.5000, 0.5000, 0.5000)  4 Ag 3.27, 4 Hg 3.27
Hg (0.7500, 0.7500, 0.7500)  4 Pr 3.27, 4 Pu 3.27
Ag (0.2500, 0.2500, 0.2500)  4 Pr 3.27, 4 Pu 3.27
Pu (0.0000, 0.0000, 0.0000)  4 Hg 3.27, 4 Ag 3.27

Energy of formation: -0.142 eV per atom
Calculated density: 10.649 g/cm³
Space group: F-43m (216)
Total magnetic moment: 6.3 μB/cell

=====

5.
Compound: PrScAgHg
Source: the Alexandria database
Functional: GGA-PBE
Structure: relaxed

a b c (Å): 5.1885 5.1885 5.1885
angles (deg): 60.00 60.00 60.00
With the nearest neighbours (Å) after each atom.
Atoms (fractional coordinates):
Pr (0.7500, 0.7500, 0.7500)  4 Hg 3.18, 4 Ag 3.18
Sc (0.2500, 0.2500, 0.2500)  4 Ag 3.18, 4 Hg 3.18
Hg (0.5000, 0.5000, 0.5000)  4 Pr 3.18, 4 Sc 3.18
Ag (0.0000, 0.0000, 0.0000)  4 Pr 3.18, 4 Sc 3.18

Energy of formation: -0.313 eV per atom
Calculated density: 8.311 g/cm³
Space group: F-43m (216)
Total magnetic moment: 0.0 μB/cell

=====

6.
Compound: PrSm2Ag2Hg2
Source: the Alexandria database
Functional: GGA-PBE
Structure: relaxed

a b c (Å): 4.9192 4.9192 9.3905
angles (deg): 74.82 74.82 60.00
With the nearest neighbours (Å) after each atom.
Atoms (fractional coordinates):
Pr (0.0000, 0.0000, 0.0000)  2 Sm 3.35, 6 Ag 3.38, 6 Hg 3.48
Sm (0.1248, 0.1248, 0.6255)  3 Hg 3.14, 3 Ag 3.22, 1 Pr 3.35
Sm (0.8752, 0.8752, 0.3745)  3 Hg 3.14, 3 Ag 3.22, 1 Pr 3.35
Ag (0.5981, 0.5981, 0.2058)  3 Hg 2.85
Ag (0.4019, 0.4019, 0.7942)  3 Hg 2.85
Hg (0.7418, 0.7418, 0.7746)  3 Ag 2.85, 3 Sm 3.14
Hg (0.2582, 0.2582, 0.2254)  3 Ag 2.85, 3 Sm 3.14

Energy of formation: -0.254 eV per atom
Calculated density: 9.371 g/cm³
Space group: R-3m (166)
Total magnetic moment: 0.0 μB/cell

=====

7.
Compound: Pr2SmAg2Hg2
Source: the Alexandria database
Functional: GGA-PBE
Structure: relaxed

a b c (Å): 4.9255 4.9255 9.4458
angles (deg): 74.89 74.89 60.00
With the nearest neighbours (Å) after each atom.
Atoms (fractional coordinates):
Pr (0.1228, 0.1228, 0.6315)  3 Hg 3.20, 3 Ag 3.30, 1 Sm 3.32
Pr (0.8772, 0.8772, 0.3685)  3 Hg 3.20, 3 Ag 3.30, 1 Sm 3.32
Sm (0.0000, 0.0000, 0.0000)  6 Ag 3.28, 2 Pr 3.32, 6 Hg 3.40
Ag (0.6058, 0.6058, 0.1825)  3 Hg 2.85
Ag (0.3942, 0.3942, 0.8175)  3 Hg 2.85
Hg (0.7353, 0.7353, 0.7940)  3 Ag 2.85
Hg (0.2647, 0.2647, 0.2060)  3 Ag 2.85

Energy of formation: -0.258 eV per atom
Calculated density: 9.205 g/cm³
Space group: R-3m (166)
Total magnetic moment: 0.0 μB/cell

=====

8.
Compound: PrAgSnHg
Source: the Alexandria database
Functional: GGA-PBE
Structure: relaxed

a b c (Å): 5.2052 5.2052 5.2052
angles (deg): 60.00 60.00 60.00
With the nearest neighbours (Å) after each atom.
Atoms (fractional coordinates):
Pr (0.0000, 0.0000, 0.0000)  4 Hg 3.19, 4 Ag 3.19
Hg (0.7500, 0.7500, 0.7500)  4 Pr 3.19, 4 Sn 3.19
Ag (0.2500, 0.2500, 0.2500)  4 Pr 3.19, 4 Sn 3.19
Sn (0.5000, 0.5000, 0.5000)  4 Hg 3.19, 4 Ag 3.19

Energy of formation: -0.367 eV per atom
Calculated density: 9.459 g/cm³
Space group: F-43m (216)
Total magnetic moment: 0.0 μB/cell

=====

9.
Compound: TbPrAgHg
Source: the Alexandria database
Functional: GGA-PBE
Structure: relaxed

a b c (Å): 3.7380 3.7380 7.5989
angles (deg): 90.00 90.00 90.00
With the nearest neighbours (Å) after each atom.
Atoms (fractional coordinates):
Tb (0.0000, 0.0000, 0.3498)  4 Ag 3.14, 4 Hg 3.21
Pr (0.0000, 0.0000, 0.8609)  4 Ag 3.33, 4 Hg 3.35, 1 Tb 3.72
Ag (0.5000, 0.5000, 0.1277)  4 Tb 3.14, 4 Pr 3.33, 1 Hg 3.51
Hg (0.5000, 0.5000, 0.5896)  4 Tb 3.21, 4 Pr 3.35, 1 Ag 3.51

Energy of formation: -0.378 eV per atom
Offset from the most stable computed form: 0.0 meV per atom
Calculated density: 9.513 g/cm³
Space group: P4mm (99)
Total magnetic moment: 0.3 μB/cell

=====

10.
Compound: Tb2PrAg2Hg2
Source: the Alexandria database
Functional: GGA-PBE
Structure: relaxed

a b c (Å): 4.8980 4.8980 9.2878
angles (deg): 74.71 74.71 60.00
With the nearest neighbours (Å) after each atom.
Atoms (fractional coordinates):
Tb (0.1256, 0.1256, 0.6233)  4 Hg 3.09-3.44, 3 Ag 3.17, 1 Pr 3.33
Tb (0.8744, 0.8744, 0.3767)  4 Hg 3.09-3.44, 3 Ag 3.17, 1 Pr 3.33
Pr (0.0000, 0.0000, 0.0000)  2 Tb 3.33, 6 Ag 3.40, 6 Hg 3.51
Ag (0.5954, 0.5954, 0.2139)  3 Hg 2.83, 3 Tb 3.17
Ag (0.4046, 0.4046, 0.7861)  3 Hg 2.83, 3 Tb 3.17
Hg (0.7449, 0.7449, 0.7654)  3 Ag 2.83, 3 Tb 3.09
Hg (0.2551, 0.2551, 0.2346)  3 Ag 2.83, 3 Tb 3.09

Energy of formation: -0.246 eV per atom
Calculated density: 9.718 g/cm³
Space group: R-3m (166)
Total magnetic moment: 0.0 μB/cell

=====

11.
Compound: TbPrAgHg
Source: the Alexandria database
Functional: GGA-PBE
Structure: relaxed

a b c (Å): 5.3187 5.3187 5.3187
angles (deg): 60.00 60.00 60.00
With the nearest neighbours (Å) after each atom.
Atoms (fractional coordinates):
Pr (0.5000, 0.5000, 0.5000)  4 Hg 3.26, 4 Ag 3.26
Tb (0.0000, 0.0000, 0.0000)  4 Hg 3.26, 4 Ag 3.26
Hg (0.7500, 0.7500, 0.7500)  4 Tb 3.26, 4 Pr 3.26
Ag (0.2500, 0.2500, 0.2500)  4 Tb 3.26, 4 Pr 3.26

Energy of formation: -0.372 eV per atom
Offset from the most stable computed form: 5.7 meV per atom
Calculated density: 9.494 g/cm³
Space group: F-43m (216)
Total magnetic moment: 0.0 μB/cell

=====

12.
Compound: TbPr2Ag2Hg2
Source: the Alexandria database
Functional: GGA-PBE
Structure: relaxed

a b c (Å): 4.9069 4.9069 9.4021
angles (deg): 74.87 74.87 60.00
With the nearest neighbours (Å) after each atom.
Atoms (fractional coordinates):
Tb (0.0000, 0.0000, 0.0000)  6 Ag 3.23, 2 Pr 3.29, 6 Hg 3.36
Pr (0.1223, 0.1223, 0.6332)  3 Hg 3.20, 1 Tb 3.29, 3 Ag 3.32
Pr (0.8777, 0.8777, 0.3668)  3 Hg 3.20, 1 Tb 3.29, 3 Ag 3.32
Ag (0.6087, 0.6087, 0.1738)  3 Hg 2.84
Ag (0.3913, 0.3913, 0.8262)  3 Hg 2.84
Hg (0.7337, 0.7337, 0.7988)  3 Ag 2.84
Hg (0.2663, 0.2663, 0.2012)  3 Ag 2.84

Energy of formation: -0.252 eV per atom
Calculated density: 9.395 g/cm³
Space group: R-3m (166)
Total magnetic moment: 0.0 μB/cell